Entry 1:
# Ho3Er2Tm3

Ho3Er2Tm3 after structural relaxation (PBE-GGA, the Alexandria database).

As for the distance to the lowest polymorph of the same formula: 0 meV/atom. The calculation puts the volume at 30.26 Å³ per atom. For the total energy, the calculation gives -72.16 eV per cell.

The space group is Immm (No. 71) and the conventional cell measures 4.943, 4.945 and 19.808 Å, with angles of 90.00, 90.00 and 90.00 degrees. The distinct sites, in fractional coordinates, are Ho at (0.000, 0.000, 0.000), Ho at (0.000, 0.500, 0.125), Er at (0.000, 0.000, 0.250), Tm at (0.000, 0.000, 0.500) and Tm at (0.000, 0.500, 0.375).

Entry 2:
# Ho7ErTm2

Ho7ErTm2 after structural relaxation (PBE-GGA, the Alexandria database).

As for the distance to the lowest polymorph of the same formula: 682 meV/atom. The calculation puts the volume at 37.85 Å³ per atom. For the total energy, the calculation gives -77.03 eV per cell.

The space group is Cmmm (No. 65) and the conventional cell measures 8.648, 16.712 and 5.238 Å, with angles of 90.00, 90.00 and 90.00 degrees. The distinct sites, in fractional coordinates, are Ho at (0.000, 0.000, 0.000), Ho at (0.000, 0.300, 0.500), Ho at (0.178, 0.390, 0.000), Er at (0.000, 0.500, 0.500) and Tm at (0.000, 0.202, 0.000).

Entry 3:
# Ho7Er4Tm

Ho7Er4Tm after structural relaxation (PBE-GGA, the Alexandria database).

The calculation puts the volume at 30.86 Å³ per atom. For the total energy, the calculation gives -53.66 eV per cell.

The space group is P-1 (No. 2) and the conventional cell measures 6.414, 6.709 and 8.937 Å, with angles of 86.11, 76.67 and 82.08 degrees. The distinct sites, in fractional coordinates, are Ho at (0.000, 0.000, 0.000), Ho at (0.192, 0.605, 0.387), Ho at (0.313, 0.202, 0.641), Ho at (0.487, 0.749, 0.051), Er at (0.160, 0.115, 0.311), Er at (0.359, 0.694, 0.715) and Tm at (0.000, 0.500, 0.000).

Entry 4:
# Ho3Er5Tm4

Ho3Er5Tm4 after structural relaxation (PBE-GGA, the Alexandria database).

As for the distance to the lowest polymorph of the same formula: 234 meV/atom. The calculation puts the volume at 31.09 Å³ per atom. For the total energy, the calculation gives -102.68 eV per cell.

The space group is C2/m (No. 12) and the conventional cell measures 15.817, 5.774 and 9.137 Å, with angles of 90.00, 116.61 and 90.00 degrees. The distinct sites, in fractional coordinates, are Ho at (0.000, 0.000, 0.000), Ho at (0.209, 0.500, 0.231), Er at (0.000, 0.500, 0.000), Er at (0.074, 0.000, 0.700), Er at (0.173, 0.000, 0.386), Tm at (0.080, 0.500, 0.439) and Tm at (0.213, 0.500, 0.878).

Entry 5:
# HoEr4Tm7

HoEr4Tm7 after structural relaxation (PBE-GGA, the Alexandria database).

As for the distance to the lowest polymorph of the same formula: 214 meV/atom. The calculation puts the volume at 31.38 Å³ per atom. For the total energy, the calculation gives -100.88 eV per cell.

The space group is C2/m (No. 12) and the conventional cell measures 11.906, 5.751 and 12.498 Å, with angles of 90.00, 118.33 and 90.00 degrees. The distinct sites, in fractional coordinates, are Ho at (0.000, 0.000, 0.000), Er at (0.136, 0.500, 0.775), Er at (0.245, 0.000, 0.682), Tm at (0.000, 0.500, 0.000), Tm at (0.061, 0.000, 0.322), Tm at (0.135, 0.500, 0.501) and Tm at (0.212, 0.000, 0.924).

Entry 6:
# Ho8Er3Tm4

Ho8Er3Tm4 after structural relaxation (PBE-GGA, the Alexandria database).

As for the distance to the lowest polymorph of the same formula: 260 meV/atom. The calculation puts the volume at 32.06 Å³ per atom. For the total energy, the calculation gives -123.89 eV per cell.

The space group is C2/m (No. 12) and the conventional cell measures 13.173, 12.714 and 6.641 Å, with angles of 90.00, 120.14 and 90.00 degrees. The distinct sites, in fractional coordinates, are Ho at (0.000, 0.141, 0.000), Ho at (0.000, 0.249, 0.500), Ho at (0.232, 0.000, 0.465), Ho at (0.235, 0.000, 0.989), Er at (0.000, 0.000, 0.500), Er at (0.250, 0.250, 0.500), Tm at (0.000, 0.500, 0.000), Tm at (0.000, 0.500, 0.500) and Tm at (0.250, 0.250, 0.000).

Entry 7:
# Ho5Er3Tm2

Ho5Er3Tm2 after structural relaxation (PBE-GGA, the Alexandria database).

As for the distance to the lowest polymorph of the same formula: 0 meV/atom. The calculation puts the volume at 31.64 Å³ per atom. For the total energy, the calculation gives -173.87 eV per cell.

The space group is C2/c (No. 15) and the conventional cell measures 10.526, 15.494 and 9.367 Å, with angles of 90.00, 124.06 and 90.00 degrees. The distinct sites, in fractional coordinates, are Ho at (0.000, 0.023, 0.250), Ho at (0.000, 0.275, 0.750), Ho at (0.000, 0.472, 0.750), Ho at (0.233, 0.378, 0.218), Er at (0.000, 0.229, 0.250), Er at (0.141, 0.127, 0.046) and Tm at (0.156, 0.378, 0.547).

Entry 8:
# Ho8ErTm2

Ho8ErTm2 after structural relaxation (PBE-GGA, the Alexandria database).

As for the distance to the lowest polymorph of the same formula: 79 meV/atom. The calculation puts the volume at 32.10 Å³ per atom. For the total energy, the calculation gives -96.59 eV per cell.

The space group is C2/m (No. 12) and the conventional cell measures 18.760, 6.850 and 5.503 Å, with angles of 90.00, 92.93 and 90.00 degrees. The distinct sites, in fractional coordinates, are Ho at (0.046, 0.000, 0.236), Ho at (0.132, 0.234, 0.732), Ho at (0.188, 0.500, 0.232), Er at (0.000, 0.500, 0.000) and Tm at (0.216, 0.000, 0.251).

Entry 9:
# Ho2ErTm2

Ho2ErTm2 after structural relaxation (PBE-GGA, the Alexandria database).

As for the distance to the lowest polymorph of the same formula: 0 meV/atom. The calculation puts the volume at 30.24 Å³ per atom. For the total energy, the calculation gives -45.08 eV per cell.

The space group is P-1 (No. 2) and the conventional cell measures 4.948, 6.055 and 11.061 Å, with angles of 89.96, 89.92 and 65.89 degrees. The distinct sites, in fractional coordinates, are Ho at (0.050, 0.400, 0.350), Ho at (0.150, 0.200, 0.050), Er at (0.250, 0.000, 0.750), Tm at (0.350, 0.800, 0.450) and Tm at (0.450, 0.600, 0.150).

Entry 10:
# Ho3Er8Tm4

Ho3Er8Tm4 after structural relaxation (PBE-GGA, the Alexandria database).

As for the distance to the lowest polymorph of the same formula: 0 meV/atom. The calculation puts the volume at 31.11 Å³ per atom. For the total energy, the calculation gives -197.33 eV per cell.

The space group is R-3m (No. 166, hexagonal axes) and the conventional cell measures 6.8233, 6.8233 and 34.7192 Å, with angles of 90.00, 90.00 and 120.00 degrees. The distinct sites, in fractional coordinates, are Ho at (0.0000, 0.5000, 0.0000), Er at (0.0000, 0.0000, 0.2550), Er at (0.0015, 0.5007, 0.2501), Tm at (0.0000, 0.0000, 0.0000), Tm at (0.0000, 0.0000, 0.1637) and Tm at (0.0000, 0.0000, 0.5000).

Entry 11:
# Ho12ErTm6

Ho12ErTm6 after structural relaxation (PBE-GGA, the Alexandria database).

As for the distance to the lowest polymorph of the same formula: 94 meV/atom. The calculation puts the volume at 32.25 Å³ per atom. For the total energy, the calculation gives -244.45 eV per cell.

The space group is R-3 (No. 148, hexagonal axes) and the conventional cell measures 14.4076, 14.4076 and 10.2259 Å, with angles of 90.00, 90.00 and 120.00 degrees. The distinct sites, in fractional coordinates, are Ho at (0.0571, 0.8027, 0.0818), Ho at (0.0652, 0.8383, 0.4173), Er at (0.0000, 0.0000, 0.0000) and Tm at (0.0527, 0.8369, 0.7609).

Entry 12:
# Ho5Er12Tm2

Ho5Er12Tm2 after structural relaxation (PBE-GGA, the Alexandria database).

As for the distance to the lowest polymorph of the same formula: 0 meV/atom. The calculation puts the volume at 30.76 Å³ per atom. For the total energy, the calculation gives -84.84 eV per cell.

The space group is P-1 (No. 2) and the conventional cell measures 6.402, 8.754 and 11.240 Å, with angles of 109.50, 92.89 and 98.26 degrees. The distinct sites, in fractional coordinates, are Ho at (0.000, 0.000, 0.000), Ho at (0.196, 0.988, 0.696), Ho at (0.488, 0.609, 0.281), Er at (0.033, 0.740, 0.369), Er at (0.054, 0.343, 0.232), Er at (0.222, 0.401, 0.959), Er at (0.298, 0.828, 0.139), Er at (0.334, 0.129, 0.423), Er at (0.475, 0.800, 0.862) and Tm at (0.264, 0.554, 0.539).

Respective calculated formation energy values: 24; 704; 92; 258; 307; 417; 205; 167; 24; 156; 255; 92 meV/atom.